Entry 1:
First-principles (PBE) data for an optimized crystal structure of Pa3TlSe6, as listed in the Alexandria database.

Computed properties:
Formation energy from raw total energies (eV per formula unit): -11.9
N(E_F) (states/eV per atom): 1.33
Polymorph energy (0 for the lowest one) (meV/atom): 0.0

Cell lengths 11.858, 4.220, 12.291 Å; angles 90.00, 108.90, 90.00 degrees
Space group P2_1/m (No. 11)
Asymmetric unit:
Pa: 0.004 0.250 0.335 [2 per cell]
Pa: 0.184 0.250 0.009 [2 per cell]
Pa: 0.339 0.750 0.436 [2 per cell]
Tl: 0.409 0.750 0.815 [2 per cell]
Se: 0.022 0.750 0.905 [2 per cell]
Se: 0.128 0.750 0.498 [2 per cell]
Se: 0.173 0.250 0.767 [2 per cell]
Se: 0.241 0.250 0.276 [2 per cell]
Se: 0.353 0.750 0.056 [2 per cell]
Se: 0.432 0.250 0.600 [2 per cell]

=====

Entry 2:
First-principles (PBE) data for an optimized crystal structure of Cs2TiCl5, as listed in the Alexandria database.

Computed properties:
Formation energy from raw total energies (eV per formula unit): -14.7
N(E_F) (states/eV per atom): 0.36
Polymorph energy (0 for the lowest one) (meV/atom): 0.0

Cell lengths 7.638, 7.638, 4.909 Å; angles 90.00, 90.00, 90.00 degrees
Space group P4/mmm (No. 123)
Asymmetric unit:
Cs: 0.000 0.500 0.000 [2 per cell]
Ti: 0.000 0.000 0.500 [1 per cell]
Cl: 0.000 0.000 0.000 [1 per cell]
Cl: 0.225 0.225 0.500 [4 per cell]

=====

Entry 3:
First-principles (PBE) data for an optimized crystal structure of LiGdHfRu, as listed in the Alexandria database.

Computed properties:
DFT formation energy (kJ per mole of atoms): -21
N(E_F) (states/eV per atom): 0.70

Cell lengths 6.756, 6.756, 6.756 Å; angles 90.00, 90.00, 90.00 degrees
Space group F-43m (No. 216)
Asymmetric unit:
Li: 0.000 0.000 0.000 [4 per cell]
Gd: 0.250 0.250 0.250 [4 per cell]
Hf: 0.250 0.250 0.750 [4 per cell]
Ru: 0.000 0.000 0.500 [4 per cell]

=====

Entry 4:
First-principles (PBE) data for an optimized crystal structure of CrCoSe2, as listed in the Alexandria database.

Computed properties:
Formation energy from raw total energies (eV per formula unit): -0.3
N(E_F) (states/eV per atom): 0.99
Polymorph energy (0 for the lowest one) (meV/atom): 311.1

Cell lengths 3.6746, 3.6746, 21.3309 Å; angles 90.00, 90.00, 120.00 degrees
Space group R3m (No. 160, hexagonal axes)
Asymmetric unit:
Cr: 0.0000 0.0000 0.0000 [3 per cell]
Co: 0.0000 0.0000 0.2507 [3 per cell]
Se: 0.0000 0.0000 0.5546 [3 per cell]
Se: 0.0000 0.0000 0.7245 [3 per cell]

=====

- Which formula does entry 1 have?
  Pa3TlSe6

=====

- What is the formula in the second record?
  Cs2TiCl5

=====

- Which of these has the lowest N(E_F)?
  Cs2TiCl5

=====

- The highest N(E_F) belongs to which entry?
  Pa3TlSe6